1.
YAgS4: relaxed, PBE-GGA.

theoretical density: 3.43 g cm⁻³
crystal system: triclinic
space-group type: P-1, No. 2
formation energy from raw total energies: -0.763 eV per atom

abc: 5.868 7.477 7.630
angles: 105.19 100.15 95.38
Element x y z (fractional)
Y 0.005 0.253 0.499
Y 0.995 0.747 0.501
Ag 0.296 0.218 0.124
Ag 0.704 0.782 0.876
S 0.054 0.575 0.785
S 0.174 0.091 0.782
S 0.195 0.959 0.298
S 0.350 0.583 0.659
S 0.650 0.417 0.341
S 0.805 0.041 0.702
S 0.826 0.909 0.218
S 0.946 0.425 0.215

=====

2.
Sm6HC2Cl3: relaxed, PBE-GGA.

theoretical density: 6.80 g cm⁻³
crystal system: monoclinic
space-group type: C2/m, No. 12

abc: 6.471 6.471 7.288
angles: 98.59 98.59 119.91
Element x y z (fractional)
Sm 0.086 0.435 0.804
Sm 0.216 0.216 0.196
Sm 0.435 0.086 0.804
Sm 0.565 0.914 0.196
Sm 0.784 0.784 0.804
Sm 0.914 0.565 0.196
H 0.500 0.500 0.000
C 0.166 0.834 0.000
C 0.834 0.166 0.000
Cl 0.000 0.000 0.500
Cl 0.331 0.669 0.500
Cl 0.669 0.331 0.500

=====

Number 1: calculated total energy -5.07 eV/atom. Number 2: calculated total energy -5.59 eV/atom.